Here is SrAcNiIr after structural relaxation from Alexandria. Energies are from PBE.

Output
Crystal system = cubic
Energy of formation from the pure elements = -13.5 kJ per mole of atoms
ΔE to the lowest computed polymorph = 232 meV per atom
E_tot = -5.249 eV per atom

Cell and atoms, written as CIF:
```
data_SrAcNiIr
_symmetry_space_group_name_H-M 'F -4 3 m'
_symmetry_Int_Tables_number 216
_symmetry_space_group_name_Hall 'F -4 2 3'
_cell_length_a 7.301
_cell_length_b 7.301
_cell_length_c 7.301
_cell_angle_alpha 90.00
_cell_angle_beta 90.00
_cell_angle_gamma 90.00
loop_
_atom_site_label
_atom_site_fract_x
_atom_site_fract_y
_atom_site_fract_z
Sr1 0.000 0.000 0.000
Ac1 0.000 0.000 0.500
Ni1 0.250 0.250 0.750
Ir1 0.250 0.250 0.250
```

Here is SrAcNiIr after structural relaxation from Alexandria. Energies are from PBE.

Output
Crystal system = monoclinic
Energy of formation from the pure elements = -35.9 kJ per mole of atoms
ΔE to the lowest computed polymorph = 0 meV per atom
E_tot = -5.481 eV per atom

Cell and atoms, written as CIF:
```
data_SrAcNiIr
_symmetry_space_group_name_H-M 'C 1 m 1'
_symmetry_Int_Tables_number 8
_symmetry_space_group_name_Hall 'C -2y'
_cell_length_a 7.417
_cell_length_b 4.282
_cell_length_c 8.161
_cell_angle_alpha 90.00
_cell_angle_beta 107.70
_cell_angle_gamma 90.00
loop_
_atom_site_label
_atom_site_fract_x
_atom_site_fract_y
_atom_site_fract_z
Sr1 0.000 0.000 0.000
Ac1 0.168 0.000 0.503
Ni1 0.421 0.000 0.261
Ir1 0.257 0.500 0.268
```

Here is AcTmNiIr after structural relaxation from Alexandria. Energies are from PBE.

Output
Crystal system = cubic
Energy of formation from the pure elements = -40.7 kJ per mole of atoms
E_tot = -6.227 eV per atom

Cell and atoms, written as CIF:
```
data_AcTmNiIr
_symmetry_space_group_name_H-M 'F -4 3 m'
_symmetry_Int_Tables_number 216
_symmetry_space_group_name_Hall 'F -4 2 3'
_cell_length_a 7.080
_cell_length_b 7.080
_cell_length_c 7.080
_cell_angle_alpha 90.00
_cell_angle_beta 90.00
_cell_angle_gamma 90.00
loop_
_atom_site_label
_atom_site_fract_x
_atom_site_fract_y
_atom_site_fract_z
Ac1 0.000 0.000 0.000
Tm1 0.000 0.000 0.500
Ni1 0.250 0.250 0.250
Ir1 0.250 0.250 0.750
```

Here is AcYNiIr after structural relaxation from Alexandria. Energies are from PBE.

Output
Crystal system = cubic
Energy of formation from the pure elements = -39.2 kJ per mole of atoms
E_tot = -6.710 eV per atom

Cell and atoms, written as CIF:
```
data_AcYNiIr
_symmetry_space_group_name_H-M 'F -4 3 m'
_symmetry_Int_Tables_number 216
_symmetry_space_group_name_Hall 'F -4 2 3'
_cell_length_a 7.129
_cell_length_b 7.129
_cell_length_c 7.129
_cell_angle_alpha 90.00
_cell_angle_beta 90.00
_cell_angle_gamma 90.00
loop_
_atom_site_label
_atom_site_fract_x
_atom_site_fract_y
_atom_site_fract_z
Ac1 0.000 0.000 0.000
Y1 0.000 0.000 0.500
Ni1 0.250 0.250 0.250
Ir1 0.250 0.250 0.750
```

Here is Ac2Zn3Ni12Ir after structural relaxation from Alexandria. Energies are from PBE.

Output
Crystal system = trigonal
Energy of formation from the pure elements = 9.7 kJ per mole of atoms
E_tot = -4.915 eV per atom

Cell and atoms, written as CIF:
```
data_Ac2Zn3Ni12Ir
_symmetry_space_group_name_H-M 'R -3 m'
_symmetry_Int_Tables_number 166
_symmetry_space_group_name_Hall '-R 3 2"'
_cell_length_a 6.0556
_cell_length_b 6.0556
_cell_length_c 26.7177
_cell_angle_alpha 90.00
_cell_angle_beta 90.00
_cell_angle_gamma 120.00
loop_
_atom_site_label
_atom_site_fract_x
_atom_site_fract_y
_atom_site_fract_z
Ac1 0.0000 0.0000 0.1512
Zn1 0.0000 0.5000 0.0000
Ni1 0.0576 0.5288 0.0927
Ni2 0.0727 0.5364 0.6178
Ir1 0.0000 0.0000 0.5000
```

Here is AcZnNiIr2 after structural relaxation from Alexandria. Energies are from PBE.

Output
Crystal system = orthorhombic
Energy of formation from the pure elements = -25.0 kJ per mole of atoms
E_tot = -6.036 eV per atom

Cell and atoms, written as CIF:
```
data_AcZnNiIr2
_symmetry_space_group_name_H-M 'I m m 2'
_symmetry_Int_Tables_number 44
_symmetry_space_group_name_Hall 'I 2 -2'
_cell_length_a 4.180
_cell_length_b 4.242
_cell_length_c 10.742
_cell_angle_alpha 90.00
_cell_angle_beta 90.00
_cell_angle_gamma 90.00
loop_
_atom_site_label
_atom_site_fract_x
_atom_site_fract_y
_atom_site_fract_z
Ac1 0.000 0.000 0.000
Zn1 0.000 0.500 0.746
Ni1 0.000 0.000 0.621
Ir1 0.000 0.000 0.389
Ir2 0.000 0.500 0.255
```

Here is Ac2ZnNi6Ir after structural relaxation from Alexandria. Energies are from PBE.

Output
Crystal system = monoclinic
Energy of formation from the pure elements = -26.5 kJ per mole of atoms
E_tot = -5.579 eV per atom

Cell and atoms, written as CIF:
```
data_Ac2ZnNi6Ir
_symmetry_space_group_name_H-M 'C 1 2/m 1'
_symmetry_Int_Tables_number 12
_symmetry_space_group_name_Hall '-C 2y'
_cell_length_a 11.984
_cell_length_b 4.910
_cell_length_c 8.505
_cell_angle_alpha 90.00
_cell_angle_beta 134.31
_cell_angle_gamma 90.00
loop_
_atom_site_label
_atom_site_fract_x
_atom_site_fract_y
_atom_site_fract_z
Ac1 0.241 0.000 0.194
Zn1 0.000 0.000 0.500
Ni1 0.023 0.247 0.274
Ni2 0.249 0.000 0.577
Ir1 0.000 0.500 0.000
```

Here is Ac2Zn4NiIr3 after structural relaxation from Alexandria. Energies are from PBE.

Output
Crystal system = tetragonal
Energy of formation from the pure elements = -37.7 kJ per mole of atoms
E_tot = -4.959 eV per atom

Cell and atoms, written as CIF:
```
data_Ac2Zn4NiIr3
_symmetry_space_group_name_H-M 'P -4 m 2'
_symmetry_Int_Tables_number 115
_symmetry_space_group_name_Hall 'P -4 -2'
_cell_length_a 4.273
_cell_length_b 4.273
_cell_length_c 10.699
_cell_angle_alpha 90.00
_cell_angle_beta 90.00
_cell_angle_gamma 90.00
loop_
_atom_site_label
_atom_site_fract_x
_atom_site_fract_y
_atom_site_fract_z
Ac1 0.000 0.500 0.243
Zn1 0.000 0.000 0.500
Zn2 0.000 0.500 0.878
Zn3 0.500 0.500 0.500
Ni1 0.500 0.500 0.000
Ir1 0.000 0.000 0.000
Ir2 0.000 0.500 0.639
```

Here is AcZn2NiIr after structural relaxation from Alexandria. Energies are from PBE.

Output
Crystal system = orthorhombic
Energy of formation from the pure elements = -28.9 kJ per mole of atoms
E_tot = -4.559 eV per atom

Cell and atoms, written as CIF:
```
data_AcZn2NiIr
_symmetry_space_group_name_H-M 'I m m 2'
_symmetry_Int_Tables_number 44
_symmetry_space_group_name_Hall 'I 2 -2'
_cell_length_a 4.095
_cell_length_b 4.219
_cell_length_c 10.981
_cell_angle_alpha 90.00
_cell_angle_beta 90.00
_cell_angle_gamma 90.00
loop_
_atom_site_label
_atom_site_fract_x
_atom_site_fract_y
_atom_site_fract_z
Ac1 0.000 0.000 0.000
Zn1 0.000 0.000 0.373
Zn2 0.000 0.500 0.236
Ni1 0.000 0.000 0.602
Ir1 0.000 0.500 0.728
```

Here is AcNpIr4 after structural relaxation from Alexandria. Energies are from PBE.

Output
Crystal system = cubic
Energy of formation from the pure elements = -41.2 kJ per mole of atoms
E_tot = -9.176 eV per atom

Cell and atoms, written as CIF:
```
data_AcNpIr4
_symmetry_space_group_name_H-M 'F -4 3 m'
_symmetry_Int_Tables_number 216
_symmetry_space_group_name_Hall 'F -4 2 3'
_cell_length_a 7.718
_cell_length_b 7.718
_cell_length_c 7.718
_cell_angle_alpha 90.00
_cell_angle_beta 90.00
_cell_angle_gamma 90.00
loop_
_atom_site_label
_atom_site_fract_x
_atom_site_fract_y
_atom_site_fract_z
Ac1 0.000 0.000 0.000
Np1 0.250 0.250 0.250
Ir1 0.124 0.124 0.624
```

Here is Ac2NpP3Ir4 after structural relaxation from Alexandria. Energies are from PBE.

Output
Crystal system = tetragonal
Energy of formation from the pure elements = -71.8 kJ per mole of atoms
E_tot = -8.027 eV per atom

Cell and atoms, written as CIF:
```
data_Ac2NpP3Ir4
_symmetry_space_group_name_H-M 'P -4 m 2'
_symmetry_Int_Tables_number 115
_symmetry_space_group_name_Hall 'P -4 -2'
_cell_length_a 4.156
_cell_length_b 4.156
_cell_length_c 11.255
_cell_angle_alpha 90.00
_cell_angle_beta 90.00
_cell_angle_gamma 90.00
loop_
_atom_site_label
_atom_site_fract_x
_atom_site_fract_y
_atom_site_fract_z
Ac1 0.000 0.500 0.234
Np1 0.000 0.000 0.500
P1 0.000 0.500 0.879
P2 0.500 0.500 0.500
Ir1 0.000 0.000 0.000
Ir2 0.000 0.500 0.664
Ir3 0.500 0.500 0.000
```

Here is AcNpIrRh after structural relaxation from Alexandria. Energies are from PBE.

Output
Crystal system = cubic
Energy of formation from the pure elements = -22.5 kJ per mole of atoms
E_tot = -8.548 eV per atom

Cell and atoms, written as CIF:
```
data_AcNpIrRh
_symmetry_space_group_name_H-M 'F -4 3 m'
_symmetry_Int_Tables_number 216
_symmetry_space_group_name_Hall 'F -4 2 3'
_cell_length_a 7.125
_cell_length_b 7.125
_cell_length_c 7.125
_cell_angle_alpha 90.00
_cell_angle_beta 90.00
_cell_angle_gamma 90.00
loop_
_atom_site_label
_atom_site_fract_x
_atom_site_fract_y
_atom_site_fract_z
Ac1 0.000 0.000 0.000
Np1 0.000 0.000 0.500
Ir1 0.250 0.250 0.750
Rh1 0.250 0.250 0.250
```